First-principles (PBE) data for crystalline Y2TeSe at its relaxed geometry, as listed in Alexandria via LeMat-Bulk.

Cell: 6.6331 6.6331 8.1063 Å, 65.85 65.85 90.00°
Atoms (fractional coordinates):
Y 0.5983 0.1250 0.2500
Y 0.8750 0.8483 0.7500
Te 0.7500 0.2500 0.5000
Y 0.1517 0.6250 0.2500
Se 0.5000 0.5000 0.0000
Se 0.2500 0.7500 0.5000
Y 0.3750 0.4017 0.7500
Te 0.0000 0.0000 0.0000

## Properties
The energy above the most stable polymorph in this dataset comes out at 0.456 eV per atom. Its space group is I-42d (122).

First-principles (PBE) data for crystalline YTeSe3 at its relaxed geometry, as listed in Alexandria via LeMat-Bulk.

Cell: 5.2926 5.2926 5.2926 Å, 90.00 90.00 90.00°
Atoms (fractional coordinates):
Se 0.5000 0.0000 0.0000
Se 0.0000 0.0000 0.5000
Te 0.0000 0.0000 0.0000
Se 0.0000 0.5000 0.0000
Y 0.5000 0.5000 0.5000

## Properties
The energy above the most stable polymorph in this dataset comes out at 0.035 eV per atom. Its space group is Pm-3m (221).

First-principles (PBE) data for crystalline Y3Te3Se at its relaxed geometry, as listed in Alexandria via LeMat-Bulk.

Cell: 6.0147 6.0147 6.0147 Å, 102.46 102.46 102.46°
Atoms (fractional coordinates):
Y 0.9921 0.5059 0.9921
Se 0.0070 0.0070 0.0070
Y 0.5059 0.9921 0.9921
Te 0.1772 0.5626 0.5626
Te 0.5626 0.5626 0.1772
Y 0.9921 0.9921 0.5059
Te 0.5626 0.1772 0.5626

## Properties
The calculated total energy comes out at -5.9947 eV/atom. Its space group is R3m (160).

First-principles (PBE) data for crystalline Y3TeSe2 at its relaxed geometry, as listed in Alexandria via LeMat-Bulk.

Cell: 8.9125 7.9807 7.9807 Å, 55.38 56.06 56.06°
Atoms (fractional coordinates):
Y 0.0000 0.2740 0.7260
Se 0.7359 0.0451 0.0451
Se 0.6739 0.5451 0.5451
Se 0.3261 0.4549 0.4549
Y 0.5000 0.7740 0.2260
Y 0.5000 0.5000 0.0000
Y 0.0000 0.7260 0.2740
Y 0.5000 0.0000 0.5000
Te 0.7991 0.7500 0.7500
Se 0.2641 0.9549 0.9549
Y 0.5000 0.2260 0.7740
Te 0.2009 0.2500 0.2500

## Properties
The energy above the most stable polymorph in this dataset comes out at 0.291 eV per atom. Its space group is Imma (74).

First-principles (PBE) data for crystalline YTe3Se at its relaxed geometry, as listed in Alexandria via LeMat-Bulk.

Cell: 5.8358 5.8358 5.8358 Å, 90.00 90.00 90.00°
Atoms (fractional coordinates):
Y 0.0000 0.0000 0.0000
Te 0.0000 0.0000 0.5000
Te 0.5000 0.0000 0.0000
Se 0.5000 0.5000 0.5000
Te 0.0000 0.5000 0.0000

## Properties
The energy above the most stable polymorph in this dataset comes out at 0.225 eV per atom. Its space group is Pm-3m (221).

First-principles (PBE) data for crystalline Y2Te2Se at its relaxed geometry, as listed in Alexandria via LeMat-Bulk.

Cell: 6.2254 8.5779 12.5489 Å, 90.00 90.00 90.00°
Atoms (fractional coordinates):
Y 0.7500 0.9177 0.7395
Te 0.7500 0.6495 0.5686
Y 0.2500 0.6543 0.5774
Y 0.2500 0.0823 0.2605
Y 0.7500 0.4177 0.7605
Y 0.2500 0.1543 0.9226
Te 0.7500 0.5696 0.2256
Se 0.7500 0.6819 0.8930
Se 0.7500 0.1819 0.6070
Te 0.2500 0.4304 0.7744
Te 0.2500 0.9304 0.7256
Te 0.2500 0.8505 0.0686
Y 0.7500 0.8457 0.0774
Te 0.7500 0.0696 0.2744
Y 0.7500 0.3457 0.4226
Se 0.2500 0.8181 0.3930
Te 0.2500 0.3505 0.4314
Se 0.2500 0.3181 0.1070
Y 0.2500 0.5823 0.2395
Te 0.7500 0.1495 0.9314

## Properties
The energy above the most stable polymorph in this dataset comes out at 0.027 eV per atom. Its space group is Pnma (62).

First-principles (PBE) data for crystalline YTe3Se at its relaxed geometry, as listed in Alexandria via LeMat-Bulk.

Cell: 5.4181 5.4181 5.4181 Å, 90.00 90.00 90.00°
Atoms (fractional coordinates):
Te 0.0000 0.0000 0.5000
Se 0.0000 0.0000 0.0000
Y 0.5000 0.5000 0.5000
Te 0.5000 0.0000 0.0000
Te 0.0000 0.5000 0.0000

## Properties
The energy above the most stable polymorph in this dataset comes out at 0.000 eV per atom. Its space group is Pm-3m (221).

First-principles (PBE) data for crystalline Y4TeSe2 at its relaxed geometry, as listed in Alexandria via LeMat-Bulk.

Cell: 4.0558 4.0558 13.7122 Å, 81.50 81.50 60.00°
Atoms (fractional coordinates):
Y 0.2828 0.2828 0.1516
Te 0.0000 0.0000 0.0000
Y 0.7172 0.7172 0.8484
Y 0.8683 0.8683 0.3951
Se 0.5764 0.5764 0.2709
Y 0.1317 0.1317 0.6049
Se 0.4236 0.4236 0.7291

## Properties
The calculated total energy comes out at -6.5149 eV/atom. Its space group is R-3m (166).

First-principles (PBE) data for crystalline Y8ZnTe4Se3 at its relaxed geometry, as listed in Alexandria via LeMat-Bulk.

Cell: 8.4148 8.5686 8.4151 Å, 119.41 120.00 90.00°
Atoms (fractional coordinates):
Y 0.7486 0.7210 0.9848
Se 0.5000 0.5000 0.5000
Y 0.7396 0.7187 0.4791
Se 0.0000 0.5000 0.5000
Y 0.2362 0.7210 0.9848
Te 0.0000 0.0000 0.5000
Y 0.2604 0.2813 0.5209
Y 0.7638 0.2790 0.5275
Y 0.2514 0.2790 0.0152
Te 0.5000 0.0000 0.0000
Zn 0.0000 0.5000 0.0000
Te 0.0000 0.0000 0.0000
Te 0.5000 0.0000 0.5000
Y 0.2362 0.7210 0.4725
Se 0.5000 0.5000 0.0000
Y 0.7638 0.2790 0.0152

## Properties
The calculated total energy comes out at -6.1414 eV/atom. Its space group is R-3m (166).

First-principles (PBE) data for crystalline Y6ZnTe3Se2 at its relaxed geometry, as listed in Alexandria via LeMat-Bulk.

Cell: 7.3010 7.3010 7.4607 Å, 99.35 99.35 119.92°
Atoms (fractional coordinates):
Y 0.2486 0.2486 0.7759
Te 0.5000 0.5000 0.5000
Se 0.6655 0.3345 0.0000
Y 0.9267 0.6024 0.7782
Y 0.3976 0.0733 0.2218
Te 0.1708 0.8292 0.5000
Y 0.6024 0.9267 0.7782
Y 0.7514 0.7514 0.2241
Zn 0.0000 0.0000 0.0000
Y 0.0733 0.3976 0.2218
Se 0.3345 0.6655 0.0000
Te 0.8292 0.1708 0.5000

## Properties
The calculated total energy comes out at -6.0488 eV/atom. Its space group is C2/m (12).

First-principles (PBE) data for crystalline ZnTe2Se at its relaxed geometry, as listed in Alexandria via LeMat-Bulk.

Cell: 5.8807 5.8807 8.6310 Å, 70.08 70.08 90.00°
Atoms (fractional coordinates):
Te 0.8750 0.8623 0.7500
Zn 0.5000 0.5000 0.0000
Te 0.3750 0.3877 0.7500
Se 0.0000 0.0000 0.0000
Te 0.6123 0.1250 0.2500
Te 0.1377 0.6250 0.2500
Zn 0.2500 0.7500 0.5000
Se 0.7500 0.2500 0.5000

## Properties
The calculated total energy comes out at -2.6458 eV/atom. Its space group is I-42d (122).

First-principles (PBE) data for crystalline Zn2TeSe at its relaxed geometry, as listed in Alexandria via LeMat-Bulk.

Cell: 3.7607 8.3137 3.7174 Å, 90.00 90.00 90.00°
Atoms (fractional coordinates):
Se 0.5000 0.0000 0.5000
Zn 0.5000 0.5000 0.0000
Te 0.0000 0.5000 0.5000
Zn 0.0000 0.0000 0.0000

## Properties
The energy above the most stable polymorph in this dataset comes out at 0.548 eV per atom. Its space group is Pmmm (47).

First-principles (PBE) data for crystalline Zn3Te2Se at its relaxed geometry, as listed in Alexandria via LeMat-Bulk.

Cell: 7.3894 7.3894 7.3823 Å, 99.57 99.57 120.01°
Atoms (fractional coordinates):
Zn 0.8913 0.3720 0.8887
Zn 0.3720 0.8913 0.3887
Zn 0.5696 0.7367 0.8893
Te 0.5959 0.4271 0.0072
Te 0.7651 0.2596 0.5074
Se 0.0924 0.9316 0.5080
Te 0.2596 0.7651 0.0074
Se 0.9316 0.0924 0.0080
Zn 0.2022 0.0515 0.8708
Te 0.4271 0.5959 0.5072
Zn 0.0515 0.2022 0.3708
Zn 0.7367 0.5696 0.3893

## Properties
The calculated total energy comes out at -2.8023 eV/atom. Its space group is Cc (9).

First-principles (PBE) data for crystalline ZnTe2Se at its relaxed geometry, as listed in Alexandria via LeMat-Bulk.

Cell: 4.2151 7.1909 5.8461 Å, 35.47 90.00 90.00°
Atoms (fractional coordinates):
Te 0.0000 0.0000 0.0000
Zn 0.5000 0.5000 0.5000
Se 0.0000 0.0000 0.5000
Te 0.5000 0.5000 0.0000

## Properties
The calculated total energy comes out at -2.8286 eV/atom. Its space group is P2/m (10).

First-principles (PBE) data for crystalline Zn2TeSe at its relaxed geometry, as listed in Alexandria via LeMat-Bulk.

Cell: 4.8362 4.8362 3.6982 Å, 90.00 90.00 100.84°
Atoms (fractional coordinates):
Se 0.5000 0.0000 0.5000
Zn 0.5000 0.5000 0.0000
Zn 0.0000 0.0000 0.0000
Te 0.0000 0.5000 0.5000

## Properties
The energy above the most stable polymorph in this dataset comes out at 0.740 eV per atom. Its space group is Cmmm (65).

First-principles (PBE) data for crystalline Zn2TeSe at its relaxed geometry, as listed in Alexandria via LeMat-Bulk.

Cell: 5.0005 5.0005 4.2681 Å, 72.53 72.53 101.85°
Atoms (fractional coordinates):
Zn 0.5000 0.5000 0.0000
Zn 0.0000 0.0000 0.0000
Se 0.5000 0.0000 0.5000
Te 0.0000 0.5000 0.5000

## Properties
The energy above the most stable polymorph in this dataset comes out at 0.550 eV per atom. Its space group is C2/m (12).

First-principles (PBE) data for crystalline ZnTe2Se at its relaxed geometry, as listed in Alexandria via LeMat-Bulk.

Cell: 4.2410 4.2410 7.1570 Å, 74.37 74.37 58.54°
Atoms (fractional coordinates):
Zn 0.7500 0.7500 0.7500
Te 0.0478 0.0478 0.9726
Te 0.4522 0.4522 0.5274
Se 0.2500 0.2500 0.2500

## Properties
The calculated total energy comes out at -2.7696 eV/atom. Its space group is C2/m (12).

First-principles (PBE) data for crystalline Zn2TeSe at its relaxed geometry, as listed in Alexandria via LeMat-Bulk.

Cell: 4.2121 4.2121 6.9167 Å, 89.99 89.99 59.97°
Atoms (fractional coordinates):
Zn 0.7924 0.7924 0.0769
Zn 0.4577 0.4577 0.5464
Te 0.7909 0.7909 0.6899
Se 0.4590 0.4590 0.1869

## Properties
The energy above the most stable polymorph in this dataset comes out at 0.019 eV per atom. Its space group is Cm (8).

First-principles (PBE) data for crystalline ZnTe2Se at its relaxed geometry, as listed in Alexandria via LeMat-Bulk.

Cell: 3.5654 3.5682 7.3467 Å, 90.00 90.00 90.00°
Atoms (fractional coordinates):
Te 0.0000 0.0000 0.4764
Se 0.5000 0.5000 0.7500
Te 0.0000 0.0000 0.0236
Zn 0.5000 0.5000 0.2500

## Properties
The calculated total energy comes out at -2.4715 eV/atom. Its space group is P4/mmm (123).

First-principles (PBE) data for crystalline Zn2TeSe at its relaxed geometry, as listed in Alexandria via LeMat-Bulk.

Cell: 4.1999 4.1996 6.4981 Å, 90.01 90.00 90.00°
Atoms (fractional coordinates):
Te 0.5000 0.8750 0.8716
Se 0.0000 0.3750 0.3608
Zn 0.5000 0.3750 0.1338
Zn 0.0000 0.8750 0.1338

## Properties
The energy above the most stable polymorph in this dataset comes out at 0.142 eV per atom. Its space group is P4mm (99).

First-principles (PBE) data for crystalline Zn2TeSe at its relaxed geometry, as listed in Alexandria via LeMat-Bulk.

Cell: 5.9596 5.9596 7.2919 Å, 65.88 65.88 90.00°
Atoms (fractional coordinates):
Zn 0.8750 0.8520 0.7500
Te 0.7500 0.2500 0.5000
Zn 0.3750 0.3980 0.7500
Zn 0.6020 0.1250 0.2500
Te 0.0000 0.0000 0.0000
Se 0.5000 0.5000 0.0000
Se 0.2500 0.7500 0.5000
Zn 0.1480 0.6250 0.2500

## Properties
The energy above the most stable polymorph in this dataset comes out at 0.000 eV per atom. Its space group is I-42d (122).

First-principles (PBE) data for crystalline ZnTe2Se at its relaxed geometry, as listed in Alexandria via LeMat-Bulk.

Cell: 8.6279 8.6279 8.6279 Å, 27.79 27.79 27.79°
Atoms (fractional coordinates):
Se 0.0000 0.0000 0.0000
Te 0.8932 0.8932 0.8932
Zn 0.5000 0.5000 0.5000
Te 0.1068 0.1068 0.1068

## Properties
The calculated total energy comes out at -2.6674 eV/atom. Its space group is R-3m (166).

First-principles (PBE) data for crystalline ZnTeSe3 at its relaxed geometry, as listed in Alexandria via LeMat-Bulk.

Cell: 4.9180 4.9180 4.9180 Å, 90.00 90.00 90.00°
Atoms (fractional coordinates):
Se 0.0000 0.5000 0.0000
Se 0.5000 0.0000 0.0000
Te 0.5000 0.5000 0.5000
Se 0.0000 0.0000 0.5000
Zn 0.0000 0.0000 0.0000

## Properties
The energy above the most stable polymorph in this dataset comes out at 0.000 eV per atom. Its space group is Pm-3m (221).

First-principles (PBE) data for crystalline ZnTe2Se at its relaxed geometry, as listed in Alexandria via LeMat-Bulk.

Cell: 7.8410 7.8410 7.8410 Å, 29.49 29.49 29.49°
Atoms (fractional coordinates):
Te 0.9977 0.9977 0.9977
Te 0.2414 0.2414 0.2414
Zn 0.4877 0.4877 0.4877
Se 0.7732 0.7732 0.7732

## Properties
The calculated total energy comes out at -2.8052 eV/atom. Its space group is R3m (160).

First-principles (PBE) data for crystalline Zn2TeSe at its relaxed geometry, as listed in Alexandria via LeMat-Bulk.

Cell: 4.9556 4.9556 4.9556 Å, 60.00 60.00 60.00°
Atoms (fractional coordinates):
Zn 0.0000 0.0000 0.0000
Zn 0.2500 0.2500 0.2500
Te 0.7500 0.7500 0.7500
Se 0.5000 0.5000 0.5000

## Properties
The energy above the most stable polymorph in this dataset comes out at 0.849 eV per atom. Its space group is F-43m (216).

First-principles (PBE) data for crystalline ZnTe2Se at its relaxed geometry, as listed in Alexandria via LeMat-Bulk.

Cell: 3.9292 8.9316 3.9580 Å, 90.00 90.00 90.00°
Atoms (fractional coordinates):
Te 0.0000 0.0000 0.0000
Se 0.0000 0.5000 0.5000
Te 0.5000 0.5000 0.0000
Zn 0.5000 0.0000 0.5000

## Properties
The calculated total energy comes out at -2.6495 eV/atom. Its space group is Pmmm (47).

Number 1: V 36.36 A^3/atom. Number 2: V 29.65 A^3/atom. Number 3: V 28.49 A^3/atom. Number 4: V 30.21 A^3/atom. Number 5: V 39.75 A^3/atom. Number 6: V 33.51 A^3/atom. Number 7: V 31.81 A^3/atom. Number 8: V 27.50 A^3/atom. Number 9: V 27.05 A^3/atom. Number 10: V 27.17 A^3/atom. Number 11: V 32.69 A^3/atom. Number 12: V 29.06 A^3/atom. Number 13: V 27.43 A^3/atom. Number 14: V 25.70 A^3/atom. Number 15: V 21.24 A^3/atom. Number 16: V 22.96 A^3/atom. Number 17: V 26.11 A^3/atom. Number 18: V 26.56 A^3/atom. Number 19: V 23.37 A^3/atom. Number 20: V 28.65 A^3/atom. Number 21: V 26.42 A^3/atom. Number 22: V 30.82 A^3/atom. Number 23: V 23.79 A^3/atom. Number 24: V 25.86 A^3/atom. Number 25: V 21.51 A^3/atom. Number 26: V 34.73 A^3/atom.